a:
DFT (GGA-PBE) results for crystalline AlAg2Pt at its relaxed geometry.

For the theoretical density, the calculation gives 10.95 g cm⁻³.

The space group is Cmmm (No. 65) and the conventional cell measures 5.4055, 8.4106 and 2.9202 Å, with angles of 90.00, 90.00 and 90.00 degrees. Symmetry generates all atoms from Al at (0.0000, 0.0000, 0.0000), Ag at (0.2500, 0.2500, 0.5000) and Pt at (0.0000, 0.5000, 0.0000).



b:
DFT (GGA-PBE) results for crystalline AlAg2Pt at its relaxed geometry.

For the theoretical density, the calculation gives 10.92 g cm⁻³.

The space group is P2/m (No. 10) and the conventional cell measures 2.8803, 4.9715 and 4.6505 Å, with angles of 90.00, 91.86 and 90.00 degrees. Symmetry generates all atoms from Al at (0.0000, 0.0000, 0.0000), Ag at (0.2427, 0.5000, 0.7519) and Pt at (0.5000, 0.0000, 0.5000).



Which of them is the least stable? Correct choice: a.



a:
DFT (GGA-PBE) results for crystalline Zr2W at its relaxed geometry.

For the theoretical density, the calculation gives 10.00 g cm⁻³.

The space group is Fd-3m (No. 227, origin choice 2) and the conventional cell measures 7.8656, 7.8656 and 7.8656 Å, with angles of 90.00, 90.00 and 90.00 degrees. Symmetry generates all atoms from Zr at (0.0000, 0.0000, 0.0000) and W at (0.1250, 0.1250, 0.6250).



b:
DFT (GGA-PBE) results for crystalline Zr2W at its relaxed geometry.

For the theoretical density, the calculation gives 9.94 g cm⁻³.

The space group is I4/mmm (No. 139) and the conventional cell measures 3.4060, 3.4060 and 10.5538 Å, with angles of 90.00, 90.00 and 90.00 degrees. Symmetry generates all atoms from Zr at (0.0000, 0.0000, 0.1506) and W at (0.0000, 0.0000, 0.5000).



Which of them is the least stable? Correct choice: a.



a:
DFT (GGA-PBE) results for crystalline LaZrCu at its relaxed geometry.

For the theoretical density, the calculation gives 7.01 g cm⁻³.

The space group is Pnma (No. 62) and the conventional cell measures 8.5177, 3.3613 and 9.7192 Å, with angles of 90.00, 90.00 and 90.00 degrees. Symmetry generates all atoms from La at (0.1632, 0.2500, 0.0679), Zr at (0.0608, 0.2500, 0.3762) and Cu at (0.1518, 0.2500, 0.7684).



b:
DFT (GGA-PBE) results for crystalline LaZrCu at its relaxed geometry.

For the theoretical density, the calculation gives 6.50 g cm⁻³.

The space group is F-43m (No. 216) and the conventional cell measures 6.6950, 6.6950 and 6.6950 Å, with angles of 90.00, 90.00 and 90.00 degrees. Symmetry generates all atoms from La at (0.0000, 0.0000, 0.0000), Zr at (0.2500, 0.2500, 0.7500) and Cu at (0.2500, 0.2500, 0.2500).



Which of them is the least stable? Correct choice: b.